First-principles (PBE-GGA) data for an optimized crystal structure of Mg8Ga2Ir, as listed in Alexandria.

Results
- raw total energy (eV/atom) = -2.702

a = 8.0661 Å, b = 8.0661 Å, c = 6.7950 Å
α = 113.22°, β = 113.22°, γ = 32.76°
Atoms (fractional coordinates):
Mg 0.0200 0.0200 0.2905
Mg 0.1795 0.1795 0.7446
Mg 0.3416 0.3416 0.5775
Mg 0.3952 0.3952 0.0740
Mg 0.6048 0.6048 0.9260
Mg 0.6584 0.6584 0.4225
Mg 0.8205 0.8205 0.2554
Mg 0.9800 0.9800 0.7095
Ga 0.1829 0.1829 0.1755
Ga 0.8171 0.8171 0.8245
Ir 0.5000 0.5000 0.5000


First-principles (PBE-GGA) data for an optimized crystal structure of MgGaIr3, as listed in Alexandria.

Results
- energy relative to the lowest polymorph listed for this composition (eV per atom) = 0.000

a = 4.5586 Å, b = 4.5586 Å, c = 4.5586 Å
α = 90.00°, β = 90.00°, γ = 90.00°
Atoms (fractional coordinates):
Mg 0.0000 0.0000 0.0000
Ga 0.5000 0.5000 0.5000
Ir 0.0000 0.5000 0.5000
Ir 0.5000 0.0000 0.5000
Ir 0.5000 0.5000 0.0000